No. 1
Compound: Sc2AgW
Source: Alexandria via LeMat-Bulk
Functional: PBE-GGA
Structure: relaxed

Cell lengths 4.029, 4.146, 9.313 Å; angles 90.00, 90.00, 90.00 degrees
Space group Cmm2 (No. 35)
Inequivalent atoms, fractional coordinates:
Sc  0.000  0.000  0.000 x2
Sc  0.000  0.500  0.299 x2
Ag  0.000  0.000  0.537 x2
W  0.000  0.500  0.768 x2

Results
Distance to the lowest polymorph of the same formula: 0.2100 eV per atom
Magnetization: 0.0 μB/f.u.
Total energy: -6.855 eV per atom
D(E_F): 3.83 states/eV/f.u.

---

No. 2
Compound: LiHo2Sc
Source: Alexandria via LeMat-Bulk
Functional: PBE-GGA
Structure: relaxed

Cell lengths 3.3615, 3.3615, 35.3077 Å; angles 90.00, 90.00, 120.00 degrees
Space group R-3m (No. 166, hexagonal axes)
Inequivalent atoms, fractional coordinates:
Li  0.0000  0.0000  0.0000 x3
Ho  0.0000  0.0000  0.0910 x6
Sc  0.0000  0.0000  0.5000 x3

Results
Distance to the lowest polymorph of the same formula: 0.0836 eV per atom
Magnetization: 0.0 μB/f.u.
Total energy: -4.181 eV per atom
D(E_F): 5.11 states/eV/f.u.

---

| no. | energy of formation from the pure elements (eV/f.u.) |
| --- | --- |
| 1 | 1.05 |
| 2 | 0.68 |